[1]
# KCdHg2 | the Alexandria database | PBE | relaxed
# Electronic total energy = -2.9 eV per formula unit
# Formation enthalpy at 0 K = -0.072 eV/atom
# Theoretical density = 6.1 Mg/m³
# Space group = I-42d, No. 122
# Total magnetic moment = 0.00 μB/cell
data_KCdHg2
_chemical_formula_sum 'K2 Cd2 Hg4'
_symmetry_space_group_name_H-M 'P 1'
_symmetry_Int_Tables_number 1
_cell_length_a 5.413
_cell_length_b 5.413
_cell_length_c 11.036
_cell_angle_alpha 75.80
_cell_angle_beta 75.80
_cell_angle_gamma 90.00
loop_
_symmetry_equiv_pos_as_xyz
'x,y,z'
loop_
_atom_site_label
_atom_site_fract_x
_atom_site_fract_y
_atom_site_fract_z
K1 0.500 0.500 0.000
K2 0.250 0.750 0.500
Hg1 0.750 0.125 0.250
Hg2 0.000 0.625 0.250
Hg3 0.375 0.250 0.750
Hg4 0.875 0.000 0.750
Cd1 0.000 0.000 0.000
Cd2 0.750 0.250 0.500


[2]
# La4Ho3Zn | the Alexandria database | PBE | relaxed
# Electronic total energy = -35.1 eV per formula unit
# Formation enthalpy at 0 K = -0.054 eV/atom
# Theoretical density = 7.2 Mg/m³
# Space group = P4/mmm, No. 123
# Total magnetic moment = 0.00 μB/cell
data_La4Ho3Zn
_chemical_formula_sum 'La4 Ho3 Zn1'
_symmetry_space_group_name_H-M 'P 1'
_symmetry_Int_Tables_number 1
_cell_length_a 3.733
_cell_length_b 3.733
_cell_length_c 18.589
_cell_angle_alpha 90.00
_cell_angle_beta 90.00
_cell_angle_gamma 90.00
loop_
_symmetry_equiv_pos_as_xyz
'x,y,z'
loop_
_atom_site_label
_atom_site_fract_x
_atom_site_fract_y
_atom_site_fract_z
Zn1 0.500 0.500 0.000
Ho1 0.500 0.500 0.238
Ho2 0.500 0.500 0.500
Ho3 0.500 0.500 0.762
La1 0.000 0.000 0.900
La2 0.000 0.000 0.100
La3 0.000 0.000 0.368
La4 0.000 0.000 0.632


[3]
# SrAlNi3 | the Alexandria database | PBE | relaxed
# Electronic total energy = -21.9 eV per formula unit
# Formation enthalpy at 0 K = 0.167 eV/atom
# Theoretical density = 5.2 Mg/m³
# Space group = Pm-3m, No. 221
# Total magnetic moment = 0.00 μB/cell
# Energy above the most stable polymorph in this dataset = 0 meV/atom
data_SrAlNi3
_chemical_formula_sum 'Sr1 Al1 Ni3'
_symmetry_space_group_name_H-M 'P 1'
_symmetry_Int_Tables_number 1
_cell_length_a 4.516
_cell_length_b 4.516
_cell_length_c 4.516
_cell_angle_alpha 90.00
_cell_angle_beta 90.00
_cell_angle_gamma 90.00
loop_
_symmetry_equiv_pos_as_xyz
'x,y,z'
loop_
_atom_site_label
_atom_site_fract_x
_atom_site_fract_y
_atom_site_fract_z
Sr1 0.500 0.500 0.500
Al1 0.000 0.000 0.000
Ni1 0.000 0.500 0.000
Ni2 0.000 0.000 0.500
Ni3 0.500 0.000 0.000


[4]
# MnRe2I | the Alexandria database | PBE | relaxed
# Electronic total energy = -29.6 eV per formula unit
# Theoretical density = 10.4 Mg/m³
# Space group = I-42d, No. 122
# Total magnetic moment = 0.00 μB/cell
# Energy above the most stable polymorph in this dataset = 421 meV/atom
# ΔE_f (raw) = 6.002 eV per formula unit
data_MnRe2I
_chemical_formula_sum 'Mn2 Re4 I2'
_symmetry_space_group_name_H-M 'P 1'
_symmetry_Int_Tables_number 1
_cell_length_a 5.473
_cell_length_b 5.473
_cell_length_c 7.044
_cell_angle_alpha 67.14
_cell_angle_beta 67.14
_cell_angle_gamma 90.00
loop_
_symmetry_equiv_pos_as_xyz
'x,y,z'
loop_
_atom_site_label
_atom_site_fract_x
_atom_site_fract_y
_atom_site_fract_z
I1 0.000 0.000 0.000
I2 0.750 0.250 0.500
Re1 0.562 0.125 0.250
Re2 0.188 0.625 0.250
Re3 0.375 0.438 0.750
Re4 0.875 0.812 0.750
Mn1 0.500 0.500 0.000
Mn2 0.250 0.750 0.500


[5]
# NdMg3Pt3 | the Alexandria database | PBE | relaxed
# Electronic total energy = -29.0 eV per formula unit
# Formation enthalpy at 0 K = -0.187 eV/atom
# Theoretical density = 7.7 Mg/m³
# Space group = Pm-3n, No. 223
# Total magnetic moment = 0.00 μB/cell
data_NdMg3Pt3
_chemical_formula_sum 'Nd2 Mg6 Pt6'
_symmetry_space_group_name_H-M 'P 1'
_symmetry_Int_Tables_number 1
_cell_length_a 7.011
_cell_length_b 7.011
_cell_length_c 7.011
_cell_angle_alpha 90.00
_cell_angle_beta 90.00
_cell_angle_gamma 90.00
loop_
_symmetry_equiv_pos_as_xyz
'x,y,z'
loop_
_atom_site_label
_atom_site_fract_x
_atom_site_fract_y
_atom_site_fract_z
Mg1 0.250 0.000 0.500
Mg2 0.000 0.500 0.250
Mg3 0.500 0.750 0.000
Mg4 0.750 0.000 0.500
Mg5 0.000 0.500 0.750
Mg6 0.500 0.250 0.000
Nd1 0.500 0.500 0.500
Nd2 0.000 0.000 0.000
Pt1 0.000 0.250 0.500
Pt2 0.000 0.750 0.500
Pt3 0.500 0.000 0.750
Pt4 0.750 0.500 0.000
Pt5 0.500 0.000 0.250
Pt6 0.250 0.500 0.000


[6]
# PuGaNi2 | the Alexandria database | PBE | relaxed
# Electronic total energy = -29.8 eV per formula unit
# Formation enthalpy at 0 K = -0.207 eV/atom
# Theoretical density = 11.8 Mg/m³
# Space group = P4/mmm, No. 123
# Total magnetic moment = 5.24 μB/cell
data_PuGaNi2
_chemical_formula_sum 'Pu1 Ga1 Ni2'
_symmetry_space_group_name_H-M 'P 1'
_symmetry_Int_Tables_number 1
_cell_length_a 2.977
_cell_length_b 2.977
_cell_length_c 6.839
_cell_angle_alpha 90.00
_cell_angle_beta 90.00
_cell_angle_gamma 90.00
loop_
_symmetry_equiv_pos_as_xyz
'x,y,z'
loop_
_atom_site_label
_atom_site_fract_x
_atom_site_fract_y
_atom_site_fract_z
Ni1 0.000 0.000 0.698
Ni2 0.000 0.000 0.302
Ga1 0.500 0.500 0.500
Pu1 0.500 0.500 0.000